(1)
Below is LaCrOs2 after structural relaxation, with properties calculated at the GGA-PBEsol level.

Summary:
Energy of formation from the pure elements: 298 kJ/mol of formula units
Energy above the lowest structure with this stoichiometry: 0.2818 eV per atom
Volume: 17.38 Å³/atom
DOS at the Fermi energy: 1.5024 states/eV per atom

Cell and atoms, written as CIF:
```
data_LaCrOs2
_space_group_name_H-M_alt 'P 1'
_space_group_IT_number 1
_cell_length_a 3.2456
_cell_length_b 4.6287
_cell_length_c 4.6287
_cell_angle_alpha 90.00
_cell_angle_beta 90.00
_cell_angle_gamma 90.00
loop_
_space_group_symop_operation_xyz
'x,y,z'
loop_
_atom_site_label
_atom_site_fract_x
_atom_site_fract_y
_atom_site_fract_z
Cr1 0.5000 0.5000 0.5000
La1 0.5000 0.0000 0.0000
Os1 0.0000 0.0000 0.5000
Os2 0.0000 0.5000 0.0000
```

---

(2)
Below is LaCr2Os after structural relaxation, with properties calculated at the GGA-PBEsol level.

Summary:
Energy of formation from the pure elements: 201 kJ/mol of formula units
Energy above the lowest structure with this stoichiometry: 0.0000 eV per atom
Volume: 17.58 Å³/atom
DOS at the Fermi energy: 1.2116 states/eV per atom

Cell and atoms, written as CIF:
```
data_LaCr2Os
_space_group_name_H-M_alt 'P 1'
_space_group_IT_number 1
_cell_length_a 2.8967
_cell_length_b 3.5112
_cell_length_c 6.9157
_cell_angle_alpha 90.00
_cell_angle_beta 90.00
_cell_angle_gamma 90.00
loop_
_space_group_symop_operation_xyz
'x,y,z'
loop_
_atom_site_label
_atom_site_fract_x
_atom_site_fract_y
_atom_site_fract_z
Cr1 0.0000 0.0000 0.6554
Cr2 0.0000 0.0000 0.3446
La1 0.5000 0.5000 0.0000
Os1 0.5000 0.5000 0.5000
```

---

(3)
Below is LaCr3Os after structural relaxation, with properties calculated at the GGA-PBEsol level.

Summary:
Energy of formation from the pure elements: 448 kJ/mol of formula units
Volume: 20.20 Å³/atom
DOS at the Fermi energy: 1.0402 states/eV per atom

Cell and atoms, written as CIF:
```
data_LaCr3Os
_space_group_name_H-M_alt 'P 1'
_space_group_IT_number 1
_cell_length_a 4.6573
_cell_length_b 4.6573
_cell_length_c 4.6573
_cell_angle_alpha 90.00
_cell_angle_beta 90.00
_cell_angle_gamma 90.00
loop_
_space_group_symop_operation_xyz
'x,y,z'
loop_
_atom_site_label
_atom_site_fract_x
_atom_site_fract_y
_atom_site_fract_z
Cr1 0.0000 0.5000 0.0000
Cr2 0.0000 0.0000 0.5000
Cr3 0.5000 0.0000 0.0000
Os1 0.0000 0.0000 0.0000
La1 0.5000 0.5000 0.5000
```

---

(4)
Below is La2CrOs after structural relaxation, with properties calculated at the GGA-PBEsol level.

Summary:
Energy of formation from the pure elements: 46 kJ/mol of formula units
Energy above the lowest structure with this stoichiometry: 0.0000 eV per atom
Volume: 23.71 Å³/atom
DOS at the Fermi energy: 1.1152 states/eV per atom

Cell and atoms, written as CIF:
```
data_La2CrOs
_space_group_name_H-M_alt 'P 1'
_space_group_IT_number 1
_cell_length_a 4.0714
_cell_length_b 4.0714
_cell_length_c 7.0134
_cell_angle_alpha 73.13
_cell_angle_beta 73.13
_cell_angle_gamma 60.00
loop_
_space_group_symop_operation_xyz
'x,y,z'
loop_
_atom_site_label
_atom_site_fract_x
_atom_site_fract_y
_atom_site_fract_z
Cr1 0.1946 0.1946 0.4163
La1 0.9759 0.9759 0.0723
La2 0.7750 0.7750 0.6750
Os1 0.5545 0.5545 0.3364
```

---

(5)
Below is LaCrOs2S after structural relaxation, with properties calculated at the GGA-PBEsol level.

Summary:
Uncorrected formation energy: 1000.1 meV per atom
Volume: 21.60 Å³/atom
DOS at the Fermi energy: 1.2227 states/eV per atom

Cell and atoms, written as CIF:
```
data_LaCrOs2S
_space_group_name_H-M_alt 'P 1'
_space_group_IT_number 1
_cell_length_a 4.3070
_cell_length_b 4.3070
_cell_length_c 5.8227
_cell_angle_alpha 90.00
_cell_angle_beta 90.00
_cell_angle_gamma 90.00
loop_
_space_group_symop_operation_xyz
'x,y,z'
loop_
_atom_site_label
_atom_site_fract_x
_atom_site_fract_y
_atom_site_fract_z
Cr1 0.0000 0.0000 0.0000
S1 0.5000 0.5000 0.5000
Os1 0.0000 0.5000 0.0000
Os2 0.5000 0.0000 0.0000
La1 0.0000 0.0000 0.5000
```

---

(6)
Below is LaCrP2 after structural relaxation, with properties calculated at the GGA-PBEsol level.

Summary:
Energy of formation from the pure elements: -134 kJ/mol of formula units
Energy above the lowest structure with this stoichiometry: 0.1920 eV per atom
Volume: 18.63 Å³/atom
DOS at the Fermi energy: 0.9787 states/eV per atom

Cell and atoms, written as CIF:
```
data_LaCrP2
_space_group_name_H-M_alt 'P 1'
_space_group_IT_number 1
_cell_length_a 4.7232
_cell_length_b 4.7232
_cell_length_c 4.7232
_cell_angle_alpha 60.00
_cell_angle_beta 60.00
_cell_angle_gamma 60.00
loop_
_space_group_symop_operation_xyz
'x,y,z'
loop_
_atom_site_label
_atom_site_fract_x
_atom_site_fract_y
_atom_site_fract_z
Cr1 0.0000 0.0000 0.0000
La1 0.5000 0.5000 0.5000
P1 0.2500 0.2500 0.2500
P2 0.7500 0.7500 0.7500
```

---

- Which of these has the lowest volume?
  LaCrOs2